Material: TcMoPd
Method: DFT, PBE
State: optimized geometry

The structure in POSCAR format:
```
TcMoPd
1.0
3.191 0.131 -0.471
-0.201 3.187 -0.471
-1.778 -1.973 9.764
Mo Pd Tc
2 2 2
direct
0.859 0.854 0.485
0.854 0.859 0.985
0.537 0.539 0.163
0.539 0.537 0.663
0.226 0.231 0.349
0.231 0.226 0.849
```

Values from the calculation:
The formation energy from the elements comes out at 0.5 eV per formula unit. As for the density of states at the Fermi level: 6.209 states/eV/cell. The total energy comes out at -8.619 eV/atom. As for the space group: Cc.